Entry 1:
Here is a geometry-optimized InNi15Sb4 structure from Alexandria via LeMat-Bulk. Energies are from PBE.

Calculated values
* DOS(E_F): 0.5893 states/eV/atom
* formation energy (no corrections): -0.138 eV/atom
* space-group type: No. 123

Cell and atoms, written as POSCAR:
```
InNi15Sb4
1.0
3.737 0.000 0.000
0.000 3.737 0.000
0.000 0.000 18.602
In Ni Sb
1 15 4
Direct
0.000 0.000 0.000
0.000 0.500 0.102
0.000 0.500 0.300
0.000 0.500 0.500
0.000 0.500 0.700
0.000 0.500 0.898
0.500 0.000 0.102
0.500 0.000 0.300
0.500 0.000 0.500
0.500 0.000 0.700
0.500 0.000 0.898
0.500 0.500 0.000
0.500 0.500 0.203
0.500 0.500 0.400
0.500 0.500 0.600
0.500 0.500 0.797
0.000 0.000 0.198
0.000 0.000 0.400
0.000 0.000 0.600
0.000 0.000 0.802
```

Entry 2:
Here is a geometry-optimized CeErPd structure from Alexandria via LeMat-Bulk. Energies are from PBE.

Calculated values
* DOS(E_F): 1.9286 states/eV/atom
* space-group type: No. 107
* energy above the lowest structure with this stoichiometry: 0.0377 eV per atom
* energy of formation from the pure elements: -449.5 meV per atom

Cell and atoms, written as POSCAR:
```
CeErPd
1.0
-1.759 1.759 6.150
1.759 -1.759 6.150
1.759 1.759 -6.150
Ce Er Pd
1 1 1
Direct
0.000 0.000 0.000
0.282 0.282 0.000
0.653 0.653 0.000
```

Entry 3:
Here is a geometry-optimized Na2In2Pd3 structure from Alexandria via LeMat-Bulk. Energies are from PBE.

Calculated values
* DOS(E_F): 0.3979 states/eV/atom
* space-group type: No. 2
* energy of formation from the pure elements: -364.3 meV per atom

Cell and atoms, written as POSCAR:
```
Na2In2Pd3
1.0
4.605 0.000 0.000
2.265 4.046 0.000
0.031 2.613 7.850
Na In Pd
2 2 3
Direct
0.129 0.241 0.394
0.871 0.759 0.606
0.385 0.729 0.159
0.615 0.271 0.841
0.000 0.500 0.000
0.272 0.955 0.809
0.728 0.045 0.191
```

Entry 4:
Here is a geometry-optimized Np3Al5N12 structure from Alexandria via LeMat-Bulk. Energies are from PBE.

Calculated values
* DOS(E_F): 0.0264 states/eV/atom
* formation energy (no corrections): -0.749 eV/atom
* space-group type: No. 230

Cell and atoms, written as POSCAR:
```
Np3Al5N12
1.0
-6.029 6.029 6.029
6.029 -6.029 6.029
6.029 6.029 -6.029
Np Al N
12 20 48
Direct
0.125 0.250 0.375
0.125 0.375 0.750
0.250 0.375 0.125
0.250 0.875 0.625
0.375 0.125 0.250
0.375 0.750 0.125
0.625 0.250 0.875
0.625 0.875 0.750
0.750 0.125 0.375
0.750 0.625 0.875
0.875 0.625 0.250
0.875 0.750 0.625
0.000 0.000 0.000
0.000 0.000 0.500
0.000 0.500 0.000
0.000 0.500 0.500
0.125 0.750 0.875
0.125 0.875 0.250
0.250 0.125 0.875
0.250 0.625 0.375
0.375 0.250 0.625
0.375 0.625 0.750
0.500 0.000 0.000
0.500 0.000 0.500
0.500 0.500 0.000
0.500 0.500 0.500
0.625 0.375 0.250
0.625 0.750 0.375
0.750 0.375 0.625
0.750 0.875 0.125
0.875 0.125 0.750
0.875 0.250 0.125
0.039 0.215 0.132
0.039 0.325 0.907
0.083 0.715 0.675
0.083 0.868 0.407
0.093 0.632 0.417
0.093 0.961 0.675
0.132 0.039 0.215
0.132 0.593 0.917
0.175 0.215 0.583
0.175 0.461 0.593
0.215 0.132 0.039
0.215 0.583 0.175
0.285 0.325 0.917
0.285 0.461 0.368
0.325 0.907 0.039
0.325 0.917 0.285
0.368 0.285 0.461
0.368 0.583 0.907
0.407 0.083 0.868
0.407 0.825 0.539
0.417 0.093 0.632
0.417 0.825 0.785
0.461 0.368 0.285
0.461 0.593 0.175
0.539 0.407 0.825
0.539 0.632 0.715
0.583 0.175 0.215
0.583 0.907 0.368
0.593 0.175 0.461
0.593 0.917 0.132
0.632 0.417 0.093
0.632 0.715 0.539
0.675 0.083 0.715
0.675 0.093 0.961
0.715 0.539 0.632
0.715 0.675 0.083
0.785 0.417 0.825
0.785 0.868 0.961
0.825 0.539 0.407
0.825 0.785 0.417
0.868 0.407 0.083
0.868 0.961 0.785
0.907 0.039 0.325
0.907 0.368 0.583
0.917 0.132 0.593
0.917 0.285 0.325
0.961 0.675 0.093
0.961 0.785 0.868
```

Entry 5:
Here is a geometry-optimized ZrAgPd4 structure from Alexandria via LeMat-Bulk. Energies are from PBE.

Calculated values
* DOS(E_F): 0.4858 states/eV/atom
* space-group type: No. 12
* energy above the lowest structure with this stoichiometry: 0.0000 eV per atom
* energy of formation from the pure elements: -439.8 meV per atom

Cell and atoms, written as POSCAR:
```
ZrAgPd4
1.0
5.817 -2.055 0.000
5.817 2.055 0.000
-0.005 0.000 4.167
Zr Ag Pd
1 1 4
Direct
0.000 0.000 0.000
0.500 0.500 0.500
0.167 0.167 0.500
0.338 0.338 0.000
0.662 0.662 0.000
0.833 0.833 0.500
```

Entry 6:
Here is a geometry-optimized LiNiPt structure from Alexandria via LeMat-Bulk. Energies are from PBE.

Calculated values
* DOS(E_F): 1.1813 states/eV/atom
* space-group type: No. 107
* energy above the lowest structure with this stoichiometry: 0.0842 eV per atom
* energy of formation from the pure elements: -150.6 meV per atom

Cell and atoms, written as POSCAR:
```
LiNiPt
1.0
-1.346 1.346 5.557
1.346 -1.346 5.557
1.346 1.346 -5.557
Li Ni Pt
1 1 1
Direct
0.000 0.000 0.000
0.670 0.670 0.000
0.329 0.329 0.000
```

Entry 7:
Here is a geometry-optimized Nb3NiPb structure from Alexandria via LeMat-Bulk. Energies are from PBE.

Calculated values
* DOS(E_F): 0.9058 states/eV/atom
* space-group type: No. 221
* energy above the lowest structure with this stoichiometry: 1.7252 eV per atom
* energy of formation from the pure elements: 2351.2 meV per atom

Cell and atoms, written as POSCAR:
```
Nb3NiPb
1.0
5.115 0.000 0.000
0.000 5.115 0.000
0.000 0.000 5.115
Nb Ni Pb
3 1 1
Direct
0.000 0.000 0.500
0.000 0.500 0.000
0.500 0.000 0.000
0.500 0.500 0.500
0.000 0.000 0.000
```

Entry 8:
Here is a geometry-optimized Mg3P6Pd20 structure from Alexandria via LeMat-Bulk. Energies are from PBE.

Calculated values
* DOS(E_F): 0.3816 states/eV/atom
* space-group type: No. 225
* energy of formation from the pure elements: -582.3 meV per atom

Cell and atoms, written as POSCAR:
```
Mg3P6Pd20
1.0
0.000 6.056 6.056
6.056 0.000 6.056
6.056 6.056 0.000
Mg P Pd
3 6 20
Direct
0.000 0.000 0.000
0.250 0.250 0.250
0.750 0.750 0.750
0.265 0.265 0.735
0.265 0.735 0.265
0.265 0.735 0.735
0.735 0.265 0.265
0.735 0.265 0.735
0.735 0.735 0.265
0.000 0.000 0.343
0.000 0.000 0.657
0.000 0.343 0.000
0.000 0.343 0.657
0.000 0.657 0.000
0.000 0.657 0.343
0.147 0.618 0.618
0.343 0.000 0.000
0.343 0.000 0.657
0.343 0.657 0.000
0.382 0.382 0.382
0.382 0.382 0.853
0.382 0.853 0.382
0.618 0.147 0.618
0.618 0.618 0.147
0.618 0.618 0.618
0.657 0.000 0.000
0.657 0.000 0.343
0.657 0.343 0.000
0.853 0.382 0.382
```